Entry from Alexandria via LeMat-Bulk: a relaxed structure of CoSI2 (GGA-PBE).

Summary:
The formation energy without anion corrections comes out at 3.9 eV/f.u.

a b c (Å): 5.051 5.051 5.051
angles (deg): 60.00 60.00 60.00
Element x y z (fractional)
1 Co 0.000 0.000 0.000
2 S 0.500 0.500 0.500
3 I 0.250 0.250 0.250
4 I 0.750 0.750 0.750


Entry from Alexandria via LeMat-Bulk: a relaxed structure of Sm6Co2SI3 (GGA-PBE).

Summary:
The formation energy without anion corrections comes out at -10.7 eV/f.u.

a b c (Å): 7.114 7.114 8.208
angles (deg): 98.27 98.27 119.96
Element x y z (fractional)
1 Sm 0.086 0.439 0.818
2 Sm 0.207 0.207 0.181
3 Sm 0.439 0.086 0.818
4 Sm 0.561 0.914 0.182
5 Sm 0.793 0.793 0.819
6 Sm 0.914 0.561 0.182
7 Co 0.167 0.833 0.000
8 Co 0.833 0.167 0.000
9 S 0.500 0.500 0.000
10 I 0.000 0.000 0.500
11 I 0.336 0.664 0.500
12 I 0.664 0.336 0.500


> What is the formation energy without anion corrections in the second record?

-10.7 eV/f.u.